1.
# RbScTcPt2 | Alexandria via LeMat-Bulk | PBE | optimized geometry
# Total DFT energy (no corrections), eV for the cell shown: -24.6
# Magnetization, μB/atom: 0.000
# Energy relative to the elements, meV per atom: 1023
data_RbScTcPt2
_chemical_formula_sum 'Rb1 Sc1 Tc1 Pt2'
_symmetry_space_group_name_H-M 'P 1'
_symmetry_Int_Tables_number 1
_cell_length_a 4.928
_cell_length_b 4.928
_cell_length_c 5.071
_cell_angle_alpha 90.00
_cell_angle_beta 90.00
_cell_angle_gamma 90.00
loop_
_symmetry_equiv_pos_as_xyz
'x,y,z'
loop_
_atom_site_label
_atom_site_type_symbol
_atom_site_fract_x
_atom_site_fract_y
_atom_site_fract_z
Rb1 Rb 0.000 0.000 0.000
Sc1 Sc 0.500 0.500 0.000
Tc1 Tc 0.000 0.000 0.500
Pt1 Pt 0.000 0.500 0.500
Pt2 Pt 0.500 0.000 0.500

2.
# MgZrBeCl2 | Alexandria via LeMat-Bulk | PBE | optimized geometry
# Formation energy from raw total energies, meV per atom: 305
# Total DFT energy (no corrections), eV for the cell shown: -16.0
# Magnetization, μB/atom: 0.554
data_MgZrBeCl2
_chemical_formula_sum 'Mg1 Zr1 Be1 Cl2'
_symmetry_space_group_name_H-M 'P 1'
_symmetry_Int_Tables_number 1
_cell_length_a 4.511
_cell_length_b 4.511
_cell_length_c 7.408
_cell_angle_alpha 90.00
_cell_angle_beta 90.00
_cell_angle_gamma 90.00
loop_
_symmetry_equiv_pos_as_xyz
'x,y,z'
loop_
_atom_site_label
_atom_site_type_symbol
_atom_site_fract_x
_atom_site_fract_y
_atom_site_fract_z
Mg1 Mg 0.000 0.000 0.000
Zr1 Zr 0.000 0.000 0.500
Be1 Be 0.500 0.500 0.500
Cl1 Cl 0.000 0.500 0.000
Cl2 Cl 0.500 0.000 0.000

3.
# HfIrPt6 | Alexandria via LeMat-Bulk | PBE | optimized geometry
# Total DFT energy (no corrections), eV for the cell shown: -54.1
# Magnetization, μB/atom: 0.115
# Energy relative to the elements, meV per atom: 122
data_HfIrPt6
_chemical_formula_sum 'Hf1 Ir1 Pt6'
_symmetry_space_group_name_H-M 'P 1'
_symmetry_Int_Tables_number 1
_cell_length_a 5.335
_cell_length_b 5.335
_cell_length_c 5.335
_cell_angle_alpha 87.08
_cell_angle_beta 87.08
_cell_angle_gamma 87.08
loop_
_symmetry_equiv_pos_as_xyz
'x,y,z'
loop_
_atom_site_label
_atom_site_type_symbol
_atom_site_fract_x
_atom_site_fract_y
_atom_site_fract_z
Hf1 Hf 0.000 0.000 0.000
Ir1 Ir 0.500 0.500 0.500
Pt1 Pt 0.169 0.169 0.544
Pt2 Pt 0.169 0.544 0.169
Pt3 Pt 0.456 0.831 0.831
Pt4 Pt 0.544 0.169 0.169
Pt5 Pt 0.831 0.456 0.831
Pt6 Pt 0.831 0.831 0.456

4.
# Pu2TeS | Alexandria via LeMat-Bulk | PBE | optimized geometry
# Formation energy from raw total energies, meV per atom: -1396
# Total DFT energy (no corrections), eV for the cell shown: -124.6
# Magnetization, μB/atom: 2.896
# ΔE to the lowest computed polymorph, meV/atom: 0
data_Pu2TeS
_chemical_formula_sum 'Pu6 Te3 S3'
_symmetry_space_group_name_H-M 'P 1'
_symmetry_Int_Tables_number 1
_cell_length_a 4.186
_cell_length_b 4.186
_cell_length_c 20.751
_cell_angle_alpha 90.00
_cell_angle_beta 90.00
_cell_angle_gamma 120.00
loop_
_symmetry_equiv_pos_as_xyz
'x,y,z'
loop_
_atom_site_label
_atom_site_type_symbol
_atom_site_fract_x
_atom_site_fract_y
_atom_site_fract_z
Pu1 Pu 0.000 0.000 0.238
Pu2 Pu 0.000 0.000 0.762
Pu3 Pu 0.333 0.667 0.429
Pu4 Pu 0.333 0.667 0.905
Pu5 Pu 0.667 0.333 0.095
Pu6 Pu 0.667 0.333 0.571
Te1 Te 0.000 0.000 0.000
Te2 Te 0.333 0.667 0.667
Te3 Te 0.667 0.333 0.333
S1 S 0.000 0.000 0.500
S2 S 0.333 0.667 0.167
S3 S 0.667 0.333 0.833